Record 1
Below is a relaxed HfTc3Ge crystal, with properties calculated at the PBE-GGA level.

Properties
Symmetry: Pm-3m, No. 221
E above lowest polymorph (eV/atom): 1.118
Crystal system: cubic
Volume (Å³/cell): 108.99
VASP energy (eV per formula unit): -36.4

Cell: 4.777 4.777 4.777 Å, 90.00 90.00 90.00°
Positions (direct):
Ge 0.500 0.500 0.500
Hf 0.000 0.000 0.000
Tc 0.000 0.500 0.000
Tc 0.000 0.000 0.500
Tc 0.500 0.000 0.000

=====

Record 2
Below is a relaxed La4NdHg5 crystal, with properties calculated at the PBE-GGA level.

Properties
Symmetry: P4/mmm, No. 123
Crystal system: tetragonal
Volume (Å³/cell): 295.80
VASP energy (eV per formula unit): -30.9

Cell: 3.904 3.904 19.406 Å, 90.00 90.00 90.00°
Positions (direct):
La 0.000 0.000 0.197
La 0.000 0.000 0.399
La 0.000 0.000 0.601
La 0.000 0.000 0.803
Nd 0.000 0.000 0.000
Hg 0.500 0.500 0.095
Hg 0.500 0.500 0.298
Hg 0.500 0.500 0.500
Hg 0.500 0.500 0.702
Hg 0.500 0.500 0.905

=====

Record 3
Below is a relaxed CS crystal, with properties calculated at the PBE-GGA level.

Properties
Symmetry: Pmn2_1, No. 31
E above lowest polymorph (eV/atom): 0.126
Crystal system: orthorhombic
Formation energy (no corrections) (eV/atom): 1.35
Volume (Å³/cell): 204.48
VASP energy (eV per formula unit): -10.7

Cell: 11.247 2.730 6.661 Å, 90.00 90.00 90.00°
Positions (direct):
C 0.654 0.495 0.586
C 0.846 0.505 0.086
C 0.346 0.495 0.586
C 0.154 0.505 0.086
C 0.000 0.035 0.605
C 0.500 0.965 0.105
S 0.837 0.005 0.236
S 0.663 0.995 0.736
S 0.163 0.005 0.236
S 0.337 0.995 0.736
S 0.000 0.535 0.752
S 0.500 0.465 0.252

=====

Record 4
Below is a relaxed Ca3PmNd4Se8 crystal, with properties calculated at the PBE-GGA level.

Properties
Symmetry: R-3m, No. 166
Crystal system: trigonal
Formation energy (no corrections) (eV/atom): -1.89
Volume (Å³/cell): 423.30
VASP energy (eV per formula unit): -87.9

Cell: 8.390 8.465 8.391 Å, 119.70 120.00 90.00°
Positions (direct):
Ca 0.500 0.500 0.000
Ca 0.500 0.500 0.500
Ca 0.000 0.500 0.500
Pm 0.000 0.500 0.000
Nd 0.500 0.000 0.000
Nd 0.500 0.000 0.500
Nd 0.000 0.000 0.000
Nd 0.000 0.000 0.500
Se 0.249 0.743 0.994
Se 0.249 0.743 0.498
Se 0.252 0.257 0.505
Se 0.745 0.743 0.994
Se 0.255 0.257 0.006
Se 0.748 0.743 0.495
Se 0.751 0.257 0.502
Se 0.751 0.257 0.006